# InSbRu

A geometry-optimized InSbRu structure (PBE, Alexandria via LeMat-Bulk).

a = 3.3789 Å, b = 3.3789 Å, c = 6.4617 Å
α = 90.00°, β = 90.00°, γ = 120.00°
Space group P3m1 (No. 156)
Symmetry-distinct sites (fractional):
In 0.0000 0.0000 0.0000 [1 per cell]
Sb 0.3333 0.6667 0.5828 [1 per cell]
Ru 0.6667 0.3333 0.3095 [1 per cell]

Results
As for the density of states at the Fermi level: 0.714 states/eV/atom. The volume is 21.297 Å³ per atom. The calculation puts the total moment at 0.00 Bohr magnetons per cell. The value obtained for the uncorrected formation energy is 39 meV per atom.